(1)
# Cr2ReHg PBE relaxed
# ΔE_f: 0.659 eV/atom
data_Cr2ReHg
_cell_length_a 3.879
_cell_length_b 3.879
_cell_length_c 7.890
_cell_angle_alpha 90.00
_cell_angle_beta 90.00
_cell_angle_gamma 90.00
_space_group_name_H-M_alt 'I -4 m 2'
_space_group_IT_number 119
_space_group_name_Hall 'I -4 -2'
loop_
_atom_site_label
_atom_site_fract_x
_atom_site_fract_y
_atom_site_fract_z
Cr1 0.000 0.000 0.000
Cr2 0.000 0.500 0.250
Re1 0.000 0.000 0.500
Hg1 0.000 0.500 0.750

(2)
# KYP2Se PBE relaxed
# energy relative to the elements, uncorrected: 0.170 eV/atom
data_KYP2Se
_cell_length_a 5.294
_cell_length_b 5.294
_cell_length_c 5.144
_cell_angle_alpha 90.00
_cell_angle_beta 90.00
_cell_angle_gamma 90.00
_space_group_name_H-M_alt 'P 4/m m m'
_space_group_IT_number 123
_space_group_name_Hall '-P 4 2'
loop_
_atom_site_label
_atom_site_fract_x
_atom_site_fract_y
_atom_site_fract_z
K1 0.000 0.000 0.000
Y1 0.500 0.500 0.000
P1 0.000 0.500 0.500
Se1 0.500 0.500 0.500

(3)
# BeAgMoCl2 PBE relaxed
# energy relative to the elements, uncorrected: 1.056 eV/atom
data_BeAgMoCl2
_cell_length_a 5.235
_cell_length_b 5.235
_cell_length_c 4.511
_cell_angle_alpha 90.00
_cell_angle_beta 90.00
_cell_angle_gamma 90.00
_space_group_name_H-M_alt 'P 4/m m m'
_space_group_IT_number 123
_space_group_name_Hall '-P 4 2'
loop_
_atom_site_label
_atom_site_fract_x
_atom_site_fract_y
_atom_site_fract_z
Be1 0.000 0.000 0.000
Ag1 0.000 0.000 0.500
Mo1 0.500 0.500 0.000
Cl1 0.000 0.500 0.500

(4)
# Ac2CeMg16 PBE relaxed
# ΔE_f: -0.035 eV/atom
data_Ac2CeMg16
_cell_length_a 10.5745
_cell_length_b 10.5745
_cell_length_c 15.4469
_cell_angle_alpha 90.00
_cell_angle_beta 90.00
_cell_angle_gamma 120.00
_space_group_name_H-M_alt 'R 3 m'
_space_group_IT_number 160
_space_group_name_Hall 'R 3 -2"'
loop_
_atom_site_label
_atom_site_fract_x
_atom_site_fract_y
_atom_site_fract_z
Ac1 0.0000 0.0000 0.0000
Ac2 0.0000 0.0000 0.3241
Ce1 0.0000 0.0000 0.5644
Mg1 0.0000 0.0000 0.7715
Mg2 0.0010 0.2995 0.6573
Mg3 0.0038 0.5019 0.8081
Mg4 0.1702 0.3405 0.4902
Mg5 0.1703 0.3407 0.8379

(5)
# Ho3CuSe6 PBE relaxed
# energy relative to the elements, uncorrected: -1.331 eV/atom
data_Ho3CuSe6
_cell_length_a 11.260
_cell_length_b 12.914
_cell_length_c 6.928
_cell_angle_alpha 90.00
_cell_angle_beta 90.00
_cell_angle_gamma 90.00
_space_group_name_H-M_alt 'C m c 21'
_space_group_IT_number 36
_space_group_name_Hall 'C 2c -2'
loop_
_atom_site_label
_atom_site_fract_x
_atom_site_fract_y
_atom_site_fract_z
Ho1 0.000 0.104 0.000
Ho2 0.180 0.402 0.096
Cu1 0.000 0.292 0.640
Se1 0.000 0.283 0.289
Se2 0.000 0.463 0.796
Se3 0.161 0.036 0.300
Se4 0.172 0.236 0.811

(6)
# Sc4BeI5 PBE relaxed
# energy relative to the elements, uncorrected: -0.837 eV/atom
data_Sc4BeI5
_cell_length_a 18.900
_cell_length_b 3.915
_cell_length_c 8.338
_cell_angle_alpha 90.00
_cell_angle_beta 102.39
_cell_angle_gamma 90.00
_space_group_name_H-M_alt 'C 1 2/m 1'
_space_group_IT_number 12
_space_group_name_Hall '-C 2y'
loop_
_atom_site_label
_atom_site_fract_x
_atom_site_fract_y
_atom_site_fract_z
Sc1 0.000 0.000 0.201
Sc2 0.132 0.500 0.067
Be1 0.000 0.500 0.000
I1 0.000 0.500 0.500
I2 0.163 0.000 0.334
I3 0.168 0.000 0.831

(7)
# Sm2AgPdO5 PBE relaxed
# energy relative to the elements, uncorrected: -1.883 eV/atom
data_Sm2AgPdO5
_cell_length_a 6.734
_cell_length_b 6.734
_cell_length_c 5.776
_cell_angle_alpha 90.00
_cell_angle_beta 90.00
_cell_angle_gamma 90.00
_space_group_name_H-M_alt 'P 4/m b m'
_space_group_IT_number 127
_space_group_name_Hall '-P 4 2ab'
loop_
_atom_site_label
_atom_site_fract_x
_atom_site_fract_y
_atom_site_fract_z
Sm1 0.174 0.326 0.000
Ag1 0.000 0.000 0.500
Pd1 0.000 0.500 0.500
O1 0.000 0.000 0.000
O2 0.137 0.637 0.243

(8)
# NiMoOs2 PBE relaxed
# ΔE_f: 0.326 eV/atom
# distance to the lowest polymorph of the same formula: 27.8 kJ/mol of atoms
data_NiMoOs2
_cell_length_a 3.130
_cell_length_b 3.130
_cell_length_c 5.739
_cell_angle_alpha 90.00
_cell_angle_beta 90.00
_cell_angle_gamma 90.00
_space_group_name_H-M_alt 'P 4 m m'
_space_group_IT_number 99
_space_group_name_Hall 'P 4 -2'
loop_
_atom_site_label
_atom_site_fract_x
_atom_site_fract_y
_atom_site_fract_z
Ni1 0.000 0.000 0.000
Mo1 0.500 0.500 0.778
Os1 0.000 0.000 0.512
Os2 0.500 0.500 0.220

(9)
# RbSiHg2W PBE relaxed
# energy relative to the elements, uncorrected: 0.394 eV/atom
data_RbSiHg2W
_cell_length_a 5.465
_cell_length_b 5.465
_cell_length_c 4.832
_cell_angle_alpha 90.00
_cell_angle_beta 90.00
_cell_angle_gamma 90.00
_space_group_name_H-M_alt 'P 4/m m m'
_space_group_IT_number 123
_space_group_name_Hall '-P 4 2'
loop_
_atom_site_label
_atom_site_fract_x
_atom_site_fract_y
_atom_site_fract_z
Rb1 0.000 0.000 0.000
Si1 0.500 0.500 0.000
Hg1 0.000 0.500 0.500
W1 0.500 0.500 0.500

(10)
# Co2HgW PBE relaxed
# ΔE_f: 0.476 eV/atom
data_Co2HgW
_cell_length_a 9.303
_cell_length_b 2.761
_cell_length_c 4.581
_cell_angle_alpha 90.00
_cell_angle_beta 104.62
_cell_angle_gamma 90.00
_space_group_name_H-M_alt 'C 1 m 1'
_space_group_IT_number 8
_space_group_name_Hall 'C -2y'
loop_
_atom_site_label
_atom_site_fract_x
_atom_site_fract_y
_atom_site_fract_z
Co1 0.000 0.000 0.000
Co2 0.216 0.500 0.285
Hg1 0.475 0.000 0.488
W1 0.251 0.000 0.832

(11)
# BeRhBr PBE relaxed
# energy relative to the elements, uncorrected: 0.412 eV/atom
# distance to the lowest polymorph of the same formula: 81.1 kJ/mol of atoms
data_BeRhBr
_cell_length_a 5.839
_cell_length_b 5.839
_cell_length_c 5.839
_cell_angle_alpha 90.00
_cell_angle_beta 90.00
_cell_angle_gamma 90.00
_space_group_name_H-M_alt 'F -4 3 m'
_space_group_IT_number 216
_space_group_name_Hall 'F -4 2 3'
loop_
_atom_site_label
_atom_site_fract_x
_atom_site_fract_y
_atom_site_fract_z
Be1 0.000 0.000 0.000
Rh1 0.250 0.250 0.250
Br1 0.000 0.000 0.500

(12)
# Cs4La3HoS8 PBE relaxed
# energy relative to the elements, uncorrected: -1.867 eV/atom
data_Cs4La3HoS8
_cell_length_a 8.5713
_cell_length_b 8.5713
_cell_length_c 24.2194
_cell_angle_alpha 90.00
_cell_angle_beta 90.00
_cell_angle_gamma 120.00
_space_group_name_H-M_alt 'R -3 m'
_space_group_IT_number 166
_space_group_name_Hall '-R 3 2"'
loop_
_atom_site_label
_atom_site_fract_x
_atom_site_fract_y
_atom_site_fract_z
Cs1 0.0000 0.0000 0.0000
Cs2 0.0000 0.5000 0.0000
La1 0.0000 0.5000 0.5000
Ho1 0.0000 0.0000 0.5000
S1 0.0000 0.0000 0.2293
S2 0.0119 0.5060 0.2279

| no. | magnetization (Bohr magnetons per cell) |
| --- | --- |
| 1 | 2.11 |
| 2 | 0.00 |
| 3 | 4.99 |
| 4 | 3.54 |
| 5 | 0.00 |
| 6 | 0.00 |
| 7 | 2.05 |
| 8 | 0.00 |
| 9 | 0.00 |
| 10 | 2.08 |
| 11 | 0.00 |
| 12 | 0.00 |